HfMg2As (PBE, optimized geometry); energy relative to the elements = -0.04 eV/atom
1.0
8.104 0.000 0.000
0.000 8.104 0.000
0.000 0.000 5.369
Hf Mg As
4 8 4
Direct
0.000 0.000 0.000
0.000 0.500 0.250
0.500 0.000 0.750
0.500 0.500 0.500
0.196 0.250 0.625
0.250 0.696 0.875
0.250 0.804 0.375
0.304 0.250 0.125
0.696 0.750 0.125
0.750 0.196 0.375
0.750 0.304 0.875
0.804 0.750 0.625
0.000 0.000 0.500
0.000 0.500 0.750
0.500 0.000 0.250
0.500 0.500 0.000

***

HfMgAs2N (PBE, optimized geometry); E_form (uncorrected) = 687 meV/atom
1.0
4.958 0.000 0.000
0.000 4.958 0.000
0.000 0.000 3.767
Hf Mg As N
1 1 2 1
Direct
0.000 0.000 0.000
0.500 0.500 0.500
0.000 0.500 0.500
0.500 0.000 0.500
0.500 0.500 0.000

***

NaHf2MgAs (PBE, optimized geometry); E above lowest polymorph = 0 meV/atom; energy relative to the elements = 0.36 eV/atom
1.0
5.086 0.000 0.000
0.000 5.086 0.000
0.000 0.000 5.040
Na Hf Mg As
1 2 1 1
Direct
0.000 0.000 0.000
0.000 0.500 0.500
0.500 0.000 0.500
0.500 0.500 0.000
0.500 0.500 0.500